No. 1
## SnNClF2 (PBE)

Data for a geometry-optimized SnNClF2 structure.

a b c (Å): 4.939 4.939 3.367
angles (deg): 90.00 90.00 90.00
Atoms (fractional coordinates):
N (0.000, 0.000, 0.500)
F (0.000, 0.500, 0.000)
F (0.500, 0.000, 0.000)
Sn (0.500, 0.500, 0.500)
Cl (0.000, 0.000, 0.000)

Spin magnetization = 0.00 μB/f.u.
Symmetry = P4/mmm (123)
Uncorrected formation energy = 0.107 eV per atom
Total energy = -3.48 eV/atom
Offset from the most stable computed form = 3.18 eV per formula unit

---

No. 2
## Nb5Ga6Ir (PBE)

Data for a geometry-optimized Nb5Ga6Ir structure.

a b c (Å): 7.395 5.049 6.682
angles (deg): 67.80 79.84 62.17
Atoms (fractional coordinates):
Nb (0.500, 0.193, 0.614)
Nb (0.000, 0.368, 0.265)
Nb (0.500, 0.500, 0.000)
Nb (0.000, 0.632, 0.735)
Nb (0.500, 0.807, 0.386)
Ga (0.790, 0.342, 0.665)
Ga (0.300, 0.140, 0.000)
Ga (0.210, 0.993, 0.665)
Ga (0.210, 0.658, 0.335)
Ga (0.790, 0.007, 0.335)
Ga (0.700, 0.860, 0.000)
Ir (0.000, 0.000, 0.000)

Spin magnetization = 0.00 μB/f.u.
Symmetry = C2/m (12)
Total energy = -6.59 eV/atom

---

No. 3
## NdMg8Pd4 (PBE)

Data for a geometry-optimized NdMg8Pd4 structure.

a b c (Å): 5.676 7.269 7.269
angles (deg): 81.23 67.02 67.02
Atoms (fractional coordinates):
Pd (0.000, 0.000, 0.500)
Pd (0.500, 0.500, 0.000)
Pd (0.500, 0.000, 0.500)
Pd (0.000, 0.500, 0.000)
Mg (0.720, 0.780, 0.780)
Mg (0.337, 0.663, 0.663)
Mg (0.000, 0.663, 0.337)
Mg (0.280, 0.220, 0.220)
Mg (0.663, 0.337, 0.337)
Mg (0.000, 0.337, 0.663)
Mg (0.500, 0.220, 0.780)
Mg (0.500, 0.780, 0.220)
Nd (0.000, 0.000, 0.000)

Spin magnetization = 0.00 μB/f.u.
Symmetry = I4/mmm (139)
Total energy = -3.45 eV/atom

---

No. 4
## BaRePb (PBE)

Data for a geometry-optimized BaRePb structure.

a b c (Å): 5.020 5.020 5.020
angles (deg): 60.00 60.00 60.00
Atoms (fractional coordinates):
Re (0.750, 0.750, 0.750)
Ba (0.000, 0.000, 0.000)
Pb (0.500, 0.500, 0.500)

Spin magnetization = 1.10 μB/f.u.
Symmetry = F-43m (216)
Total energy = -4.95 eV/atom
Offset from the most stable computed form = 0.91 eV per formula unit

---

| no. | calculated volume (A^3/atom) |
| --- | --- |
| 1 | 16.43 |
| 2 | 17.02 |
| 3 | 19.55 |
| 4 | 29.81 |